{"formula": "Nd8Dy2In", "functional": "PBE-GGA", "state": "optimized geometry", "dos_ef_per_ev_cell": 14.8, "crystal_system": "monoclinic", "e_tot_ev_per_cell": -50.829, "vol_a3_per_fu": 364, "space_group": "No. 12", "mass_density_g_cm3": 7.3, "delta_e_f_ev_per_atom": -0.068, "lattice_angstrom": [[-0.1800, -3.8997, 3.2269], [7.1284, 2.2730, 3.1446], [-6.3124, 6.3403, 3.3352]], "species": ["Nd", "Nd", "Nd", "Nd", "Nd", "Nd", "Nd", "Nd", "Dy", "Dy", "In"], "frac_coords": [[0.5905, 0.4427, 0.1809], [0.0445, 0.7286, 0.0891], [0.1367, 0.1792, 0.2735], [0.3214, 0.0914, 0.6428], [0.4095, 0.5573, 0.8191], [0.9555, 0.2714, 0.9109], [0.8633, 0.8208, 0.7265], [0.6786, 0.9086, 0.3572], [0.7755, 0.3668, 0.5510], [0.2245, 0.6332, 0.4490], [0.5000, 0.0000, 0.0000]]}

{"formula": "CsLiHgI4", "functional": "PBE-GGA", "state": "optimized geometry", "dos_ef_per_ev_cell": 0.0, "crystal_system": "monoclinic", "e_tot_ev_per_cell": -31.314, "vol_a3_per_fu": 320, "space_group": "No. 11", "formation_energy_uncorrected_mev_per_atom": -912, "mass_density_g_cm3": 4.4, "lattice_angstrom": [[7.1659, 0.0000, 0.0236], [0.0000, 8.7378, 0.0000], [-2.8366, 0.0000, 10.2074]], "species": ["Hg", "Hg", "Cs", "Cs", "I", "I", "I", "I", "I", "I", "I", "I", "Li", "Li"], "frac_coords": [[0.8138, 0.2500, 0.6633], [0.1862, 0.7500, 0.3367], [0.7707, 0.7500, 0.9209], [0.2293, 0.2500, 0.0791], [0.0833, 0.4965, 0.7250], [0.5344, 0.7500, 0.5279], [0.9167, 0.5035, 0.2750], [0.9167, 0.9965, 0.2750], [0.3475, 0.7500, 0.0980], [0.4656, 0.2500, 0.4721], [0.0833, 0.0035, 0.7250], [0.6525, 0.2500, 0.9020], [0.3203, 0.2500, 0.6911], [0.6797, 0.7500, 0.3089]]}

{"formula": "SrIrC3", "functional": "PBE-GGA", "state": "optimized geometry", "dos_ef_per_ev_cell": 4.6, "crystal_system": "cubic", "e_tot_ev_per_cell": -31.183, "vol_a3_per_fu": 68, "space_group": "No. 221", "de_polymorph_mev_per_atom": 0, "mass_density_g_cm3": 7.7, "delta_e_f_ev_per_atom": 1.406, "lattice_angstrom": [[-0.3050, 4.0662, 0.0934], [-1.8279, -0.2207, 3.6395], [3.6334, 0.2303, 1.8388]], "species": ["C", "C", "C", "Ir", "Sr"], "frac_coords": [[0.5000, 0.0000, 0.0000], [0.0000, 0.0000, 0.5000], [0.0000, 0.5000, 0.0000], [0.0000, 0.0000, 0.0000], [0.5000, 0.5000, 0.5000]]}